Record 1
# YBF2

Crystalline YBF2 at its relaxed geometry (PBE, Alexandria via LeMat-Bulk).

Results
energy above the lowest structure with this stoichiometry: 0 meV/atom
ΔE_f (raw): -1471 meV/atom

CIF file:
```
data_YBF2
_cell_length_a 3.915
_cell_length_b 3.915
_cell_length_c 15.288
_cell_angle_alpha 90.00
_cell_angle_beta 90.00
_cell_angle_gamma 90.00
_symmetry_space_group_name_H-M 'I -4 2 d'
_symmetry_Int_Tables_number 122
_symmetry_space_group_name_Hall 'I -4 2bw'
loop_
_atom_site_label
_atom_site_fract_x
_atom_site_fract_y
_atom_site_fract_z
Y1 0.000 0.000 0.000
B1 0.000 0.000 0.500
F1 0.215 0.250 0.125
```

Record 2
# Ir3RuRh8

Crystalline Ir3RuRh8 at its relaxed geometry (PBE, Alexandria via LeMat-Bulk).

Results
total DFT energy (no corrections): -7.29 eV/atom

CIF file:
```
data_Ir3RuRh8
_cell_length_a 6.094
_cell_length_b 6.094
_cell_length_c 11.063
_cell_angle_alpha 90.00
_cell_angle_beta 90.00
_cell_angle_gamma 90.00
_symmetry_space_group_name_H-M 'I 4/m m m'
_symmetry_Int_Tables_number 139
_symmetry_space_group_name_Hall '-I 4 2'
loop_
_atom_site_label
_atom_site_fract_x
_atom_site_fract_y
_atom_site_fract_z
Ir1 0.000 0.000 0.000
Ir2 0.000 0.500 0.250
Ru1 0.000 0.000 0.500
Rh1 0.248 0.248 0.376
```

Record 3
# Na4Ce3BeO8

Crystalline Na4Ce3BeO8 at its relaxed geometry (PBE, Alexandria via LeMat-Bulk).

Results
ΔE_f (raw): -2382 meV/atom

CIF file:
```
data_Na4Ce3BeO8
_cell_length_a 12.485
_cell_length_b 6.621
_cell_length_c 6.658
_cell_angle_alpha 90.00
_cell_angle_beta 122.02
_cell_angle_gamma 90.00
_symmetry_space_group_name_H-M 'C 1 2/m 1'
_symmetry_Int_Tables_number 12
_symmetry_space_group_name_Hall '-C 2y'
loop_
_atom_site_label
_atom_site_fract_x
_atom_site_fract_y
_atom_site_fract_z
Na1 0.000 0.000 0.000
Na2 0.000 0.500 0.000
Na3 0.250 0.250 0.000
Ce1 0.000 0.000 0.500
Ce2 0.250 0.250 0.500
Be1 0.000 0.500 0.500
O1 0.028 0.296 0.335
O2 0.212 0.000 0.232
O3 0.225 0.000 0.721
```

Record 4
# LiAl2Ge2

Crystalline LiAl2Ge2 at its relaxed geometry (PBE, Alexandria via LeMat-Bulk).

Results
energy above the lowest structure with this stoichiometry: 52 meV/atom

CIF file:
```
data_LiAl2Ge2
_cell_length_a 7.469
_cell_length_b 7.469
_cell_length_c 3.284
_cell_angle_alpha 90.00
_cell_angle_beta 90.00
_cell_angle_gamma 90.00
_symmetry_space_group_name_H-M 'P 4/m b m'
_symmetry_Int_Tables_number 127
_symmetry_space_group_name_Hall '-P 4 2ab'
loop_
_atom_site_label
_atom_site_fract_x
_atom_site_fract_y
_atom_site_fract_z
Li1 0.000 0.000 0.000
Al1 0.130 0.370 0.000
Ge1 0.166 0.666 0.500
```

Record 5
# Ac2La3S4

Crystalline Ac2La3S4 at its relaxed geometry (PBE, Alexandria via LeMat-Bulk).

Results
ΔE_f (raw): -1823 meV/atom

CIF file:
```
data_Ac2La3S4
_cell_length_a 13.983
_cell_length_b 4.167
_cell_length_c 10.310
_cell_angle_alpha 90.00
_cell_angle_beta 119.20
_cell_angle_gamma 90.00
_symmetry_space_group_name_H-M 'C 1 2/m 1'
_symmetry_Int_Tables_number 12
_symmetry_space_group_name_Hall '-C 2y'
loop_
_atom_site_label
_atom_site_fract_x
_atom_site_fract_y
_atom_site_fract_z
Ac1 0.099 0.000 0.400
La1 0.000 0.500 0.000
La2 0.204 0.500 0.808
S1 0.102 0.000 0.904
S2 0.201 0.500 0.294
```

Record 6
# SrCl

Crystalline SrCl at its relaxed geometry (PBE, Alexandria via LeMat-Bulk).

Results
ΔE_f (raw): -1663 meV/atom

CIF file:
```
data_SrCl
_cell_length_a 12.269
_cell_length_b 12.269
_cell_length_c 4.396
_cell_angle_alpha 90.00
_cell_angle_beta 90.00
_cell_angle_gamma 90.00
_symmetry_space_group_name_H-M 'I 4/m'
_symmetry_Int_Tables_number 87
_symmetry_space_group_name_Hall '-I 4'
loop_
_atom_site_label
_atom_site_fract_x
_atom_site_fract_y
_atom_site_fract_z
Sr1 0.097 0.328 0.000
Cl1 0.123 0.772 0.000
```